# BaBMo3

BaBMo3 after structural relaxation (GGA-PBE, Alexandria).

Lattice parameters (Å, degrees): 4.489 4.489 4.489 90.00 90.00 90.00
Atoms (fractional coordinates):
Mo (0.000, 0.500, 0.000)
Mo (0.000, 0.000, 0.500)
Mo (0.500, 0.000, 0.000)
B (0.000, 0.000, 0.000)
Ba (0.500, 0.500, 0.500)

M_tot   0.00 μB per formula unit
V   90.5 Å³/cell
Calculated formation energy   1.015 eV/atom
Theoretical density   8.003 Mg/m³
ΔE to the lowest computed polymorph   0 meV/atom



# Ba2B2Mo

Ba2B2Mo after structural relaxation (GGA-PBE, Alexandria).

Lattice parameters (Å, degrees): 5.161 5.161 6.257 65.64 65.64 90.00
Each line ends with the local moment (μB).
Atoms (fractional coordinates):
Mo (0.000, 0.000, 0.000)  3.42
B (0.423, 0.423, 0.154)  -0.01
B (0.577, 0.577, 0.846)  -0.01
Ba (0.750, 0.250, 0.500)  0.03
Ba (0.250, 0.750, 0.500)  0.03

M_tot   4.30 μB per formula unit
V   135.4 Å³/cell
Calculated formation energy   1.310 eV/atom
Theoretical density   4.812 Mg/m³
ΔE to the lowest computed polymorph   294 meV/atom



# BaB3Mo

BaB3Mo after structural relaxation (GGA-PBE, Alexandria).

Lattice parameters (Å, degrees): 4.384 4.384 4.384 90.00 90.00 90.00
Atoms (fractional coordinates):
Mo (0.000, 0.000, 0.000)
B (0.000, 0.500, 0.000)
B (0.000, 0.000, 0.500)
B (0.500, 0.000, 0.000)
Ba (0.500, 0.500, 0.500)

M_tot   0.00 μB per formula unit
V   84.3 Å³/cell
Calculated formation energy   0.511 eV/atom
Theoretical density   5.236 Mg/m³
ΔE to the lowest computed polymorph   0 meV/atom



# Ba2NbBMo

Ba2NbBMo after structural relaxation (GGA-PBE, Alexandria).

Lattice parameters (Å, degrees): 6.189 4.254 6.189 90.00 90.00 90.00
Each line ends with the local moment (μB).
Atoms (fractional coordinates):
Mo (0.500, 0.500, 0.500)  3.61
B (0.000, 0.500, 0.000)  -0.01
Ba (0.000, 0.000, 0.500)  0.03
Ba (0.500, 0.000, 0.000)  0.02
Nb (0.000, 0.000, 0.000)  0.06

M_tot   4.65 μB per formula unit
V   162.9 Å³/cell
Calculated formation energy   1.608 eV/atom
Theoretical density   4.834 Mg/m³